Record 1
Below is a PBEsol-optimized structure of Ca5MnO6, with properties calculated at the SCAN level.

extended XYZ file:
```
12
Lattice="-1.190 1.548 2.700 -5.312 -0.114 -2.276 1.835 -7.922 3.294" Properties=species:S:1:pos:R:3 pbc="T T T"
Ca -3.251 0.717 0.212
Ca -2.724 -4.873 1.593
Ca -1.943 -1.615 2.126
Ca -4.028 -2.452 -0.370
Ca -0.639 -4.036 4.088
O -3.977 -2.871 1.949
O -2.669 -5.258 3.894
O -5.299 -0.442 -0.026
O -1.998 -1.230 -0.175
O 0.632 -6.046 3.744
O -0.690 -3.617 1.769
Mn 0.000 0.000 0.000
```

Properties
* density of states at the Fermi level: 0.000 states/eV per atom
* formation energy from raw total energies: -3.010 eV per atom
* total DFT energy (no corrections): -11.6733 eV/atom
* spin magnetization: 0.4167 μB per atom

Record 2
Below is a PBEsol-optimized structure of Ca2MnO4, with properties calculated at the SCAN level.

extended XYZ file:
```
28
Lattice="5.146 0.000 0.000 0.000 5.146 0.000 -2.573 -2.573 12.046" Properties=species:S:1:pos:R:3 pbc="T T T"
Mn 0.000 2.573 6.023
Mn 0.000 0.000 0.000
Mn 2.573 2.573 0.000
Mn 2.573 0.000 6.023
O 2.573 2.573 10.113
O 1.022 -1.022 6.023
O 3.595 1.022 0.000
O -1.022 1.022 6.023
O 0.000 0.000 1.933
O 0.000 2.573 7.956
O 2.573 0.000 4.090
O 0.000 0.000 10.113
O 1.551 1.551 6.023
O 0.000 2.573 4.090
O 1.551 4.124 0.000
O 2.573 2.573 1.933
O 2.573 0.000 7.956
O 4.124 3.595 0.000
O 1.022 1.551 0.000
O 3.595 3.595 6.023
Ca 2.573 2.573 4.226
Ca 2.573 0.000 1.797
Ca 0.000 2.573 10.249
Ca 2.573 2.573 7.820
Ca 0.000 0.000 4.226
Ca 2.573 0.000 10.249
Ca 0.000 2.573 1.797
Ca 0.000 0.000 7.820
```

Properties
* formation energy from raw total energies: -2.883 eV per atom
* total DFT energy (no corrections): -11.8121 eV/atom
* ΔE to the lowest computed polymorph: 0.0 meV/atom
* spin magnetization: 0.4257 μB per atom

Record 3
Below is a PBEsol-optimized structure of CaMn3O4, with properties calculated at the SCAN level.

extended XYZ file:
```
8
Lattice="3.224 0.000 0.000 0.000 3.224 0.000 0.000 0.000 8.687" Properties=species:S:1:pos:R:3 pbc="T T T"
O 1.612 1.612 4.344
O 1.612 1.612 0.000
O 0.000 0.000 6.388
O 0.000 0.000 2.300
Mn 1.612 1.612 6.449
Mn 1.612 1.612 2.238
Mn 0.000 0.000 4.344
Ca 0.000 0.000 0.000
```

Properties
* density of states at the Fermi level: 0.087 states/eV per atom
* formation energy from raw total energies: -2.212 eV per atom
* total DFT energy (no corrections): -13.3809 eV/atom
* spin magnetization: 1.8744 μB per atom

Record 4
Below is a PBEsol-optimized structure of Ca3Mn2O7, with properties calculated at the SCAN level.

extended XYZ file:
```
12
Lattice="3.710 0.000 0.000 0.000 3.710 0.000 -1.855 -1.855 9.543" Properties=species:S:1:pos:R:3 pbc="T T T"
Mn 1.855 1.855 7.633
Mn 0.000 0.000 1.909
O 1.855 0.000 1.863
O 0.000 1.855 1.863
O 0.000 0.000 3.773
O 0.000 0.000 0.000
O 1.855 1.855 5.770
O 1.855 0.000 7.680
O 0.000 1.855 7.680
Ca 1.855 1.855 3.505
Ca 0.000 0.000 6.037
Ca 1.855 1.855 0.000
```

Properties
* formation energy from raw total energies: -2.788 eV per atom
* total DFT energy (no corrections): -11.8808 eV/atom
* ΔE to the lowest computed polymorph: 18.8 meV/atom
* spin magnetization: 0.5009 μB per atom